Record 1
Below is CoNi2 at its PBEsol-relaxed geometry, with properties calculated at the SCAN level.

Lattice parameters (Å, degrees): 3.4692 3.4692 20.6524 90.00 90.00 90.00
Last column: nearest neighbours and their distance in Å.
Space group I4_1/amd (No. 141, origin choice 2)
Asymmetric unit:
Co  0.0000  0.2500  0.2902 (multiplicity 8)  2 Co 2.40, 10 Ni 2.42-2.47
Ni  0.0000  0.2500  0.1244 (multiplicity 8)  8 Ni 2.44-2.46, 4 Co 2.46-2.47
Ni  0.0000  0.2500  0.7914 (multiplicity 8)  6 Co 2.42-2.45, 6 Ni 2.43-2.46

crystal system	tetragonal
E_form	0.0	eV/f.u.



Record 2
Below is Co3Ni at its PBEsol-relaxed geometry, with properties calculated at the SCAN level.

Lattice parameters (Å, degrees): 2.4451 7.9326 4.2600 90.00 90.00 90.00
Last column: nearest neighbours and their distance in Å.
Space group Imm2 (No. 44)
Asymmetric unit:
Co  0.0000  0.0000  0.0000 (multiplicity 2)  8 Co 2.43-2.45, 4 Ni 2.45-2.46
Co  0.0000  0.2509  0.3321 (multiplicity 4)  9 Co 2.43-2.46, 3 Ni 2.43-2.44
Ni  0.0000  0.5000  0.9992 (multiplicity 2)  10 Co 2.43-2.46, 2 Ni 2.45

crystal system	orthorhombic
E_form	0.1	eV/f.u.



Record 3
Below is Co4Ni at its PBEsol-relaxed geometry, with properties calculated at the SCAN level.

Lattice parameters (Å, degrees): 5.4625 5.4625 3.4677 90.00 90.00 90.00
Last column: nearest neighbours and their distance in Å.
Space group I4/m (No. 87)
Asymmetric unit:
Co  0.0979  0.2999  0.0000 (multiplicity 8)  9 Co 2.43-2.46, 3 Ni 2.44-2.45
Ni  0.0000  0.0000  0.5000 (multiplicity 2)  12 Co 2.44-2.45

crystal system	tetragonal
E_form	0.1	eV/f.u.



Record 4
Below is Co3Ni at its PBEsol-relaxed geometry, with properties calculated at the SCAN level.

Lattice parameters (Å, degrees): 4.8912 6.9432 2.4385 90.00 90.00 90.00
Last column: nearest neighbours and their distance in Å.
Space group Cmmm (No. 65)
Asymmetric unit:
Co  0.0000  0.0000  0.0000 (multiplicity 2)  10 Co 2.44-2.45, 2 Ni 2.45
Co  0.2500  0.2500  0.5000 (multiplicity 4)  8 Co 2.44-2.45, 4 Ni 2.45
Ni  0.0000  0.5000  0.0000 (multiplicity 2)  2 Ni 2.44, 10 Co 2.45

crystal system	orthorhombic
E_form	0.1	eV/f.u.



Record 5
Below is Co5Ni at its PBEsol-relaxed geometry, with properties calculated at the SCAN level.

Lattice parameters (Å, degrees): 6.3968 6.3968 6.3968 90.00 90.00 90.00
Last column: nearest neighbours and their distance in Å.
Space group F-43m (No. 216)
Asymmetric unit:
Co  0.0000  0.0000  0.0000 (multiplicity 4)  12 Co 2.65, 4 Ni 2.77
Co  0.1249  0.1249  0.3751 (multiplicity 16)  6 Co 2.26
Ni  0.2500  0.2500  0.7500 (multiplicity 4)  16 Co 2.65-2.77

crystal system	cubic
E_form	1.3	eV/f.u.
energy above the lowest structure with this stoichiometry	202	meV per atom



Record 6
Below is Co2Ni at its PBEsol-relaxed geometry, with properties calculated at the SCAN level.

Lattice parameters (Å, degrees): 9.0288 2.4425 5.8206 90.00 104.83 90.00
Last column: nearest neighbours and their distance in Å.
Space group Cm (No. 8)
Asymmetric unit:
Co  0.0000  0.0000  0.0000 (multiplicity 2)  7 Co 2.43-2.46, 5 Ni 2.44-2.45
Co  0.0562  0.0000  0.6132 (multiplicity 2)  8 Co 2.43-2.45, 4 Ni 2.44-2.45
Co  0.1663  0.5000  0.3349 (multiplicity 2)  8 Co 2.43-2.46, 4 Ni 2.44-2.45
Co  0.3339  0.0000  0.6666 (multiplicity 2)  3 Ni 2.43-2.44, 9 Co 2.44-2.45
Ni  0.2224  0.5000  0.9440 (multiplicity 2)  8 Co 2.44-2.45, 4 Ni 2.44-2.47
Ni  0.3895  0.0000  0.2805 (multiplicity 2)  8 Co 2.43-2.45, 4 Ni 2.44-2.47

crystal system	monoclinic
E_form	0.0	eV/f.u.